(1)
Entry from Alexandria: crystalline La2MgTl at its relaxed geometry (PBE).

Summary:
Its calculated volume is 246.6 Å³/cell. For the density, the calculation gives 6.82 g/cm3. The calculation puts the total magnetization at 0.00 μB/f.u. The value obtained for the relative energy among the computed polymorphs is 25 meV per atom. For the formation enthalpy at 0 K, the calculation gives -0.2587 eV/atom.

Unit cell a=7.3001 b=9.3443 c=3.6145 alpha=90.00 beta=90.00 gamma=90.00
Space group Cmmm (No. 65)
Inequivalent atoms, fractional coordinates:
La (0.2500, 0.2500, 0.0000) x4
Mg (0.0000, 0.0000, 0.5000) x2
Tl (0.0000, 0.5000, 0.5000) x2



(2)
Entry from Alexandria: crystalline Sr3Al2Pd2 at its relaxed geometry (PBE).

Summary:
Its calculated volume is 750.3 Å³/cell. For the density, the calculation gives 4.69 g/cm3. The calculation puts the total magnetization at 0.00 μB/f.u. For the formation enthalpy at 0 K, the calculation gives -0.5413 eV/atom.

Unit cell a=6.2563 b=8.3937 c=14.2868 alpha=90.00 beta=90.00 gamma=90.00
Space group Pbcm (No. 57)
Inequivalent atoms, fractional coordinates:
Sr (0.1401, 0.1069, 0.0984) x8
Sr (0.3565, 0.7337, 0.7500) x4
Al (0.1748, 0.0857, 0.7500) x4
Al (0.3951, 0.7500, 0.0000) x4
Pd (0.3733, 0.0278, 0.5905) x8



(3)
Entry from Alexandria: crystalline Pm5Pr4Pu at its relaxed geometry (PBE).

Summary:
Its calculated volume is 723.7 Å³/cell. For the density, the calculation gives 7.03 g/cm3. The calculation puts the total magnetization at 5.74 μB/f.u. For the formation enthalpy at 0 K, the calculation gives 0.2772 eV/atom.

Unit cell a=17.9065 b=4.9741 c=8.8708 alpha=90.00 beta=113.65 gamma=90.00
Space group C2/m (No. 12)
Inequivalent atoms, fractional coordinates:
Pm (0.0000, 0.0000, 0.0000) x2
Pm (0.1537, 0.5000, 0.6997) x4
Pm (0.1828, 0.5000, 0.1144) x4
Pr (0.0312, 0.5000, 0.2732) x4
Pr (0.1762, 0.0000, 0.4238) x4
Pu (0.0000, 0.0000, 0.5000) x2



(4)
Entry from Alexandria: crystalline Hf2TaFe3 at its relaxed geometry (PBE).

Summary:
Its calculated volume is 90.4 Å³/cell. For the density, the calculation gives 12.96 g/cm3. The calculation puts the total magnetization at 1.05 μB/f.u. For the formation enthalpy at 0 K, the calculation gives -0.2638 eV/atom.

Unit cell a=3.1038 b=3.1038 c=9.3815 alpha=90.00 beta=90.00 gamma=90.00
Space group P4/mmm (No. 123)
Inequivalent atoms, fractional coordinates:
Hf (0.0000, 0.0000, 0.1680) x2
Ta (0.0000, 0.0000, 0.5000) x1
Fe (0.5000, 0.5000, 0.0000) x1
Fe (0.5000, 0.5000, 0.3429) x2



(5)
Entry from Alexandria: crystalline PaHgS4 at its relaxed geometry (PBE).

Summary:
Its calculated volume is 299.5 Å³/cell. For the density, the calculation gives 6.21 g/cm3. The calculation puts the total magnetization at 1.05 μB/f.u. The energy relative to the elements, uncorrected is -4.14 eV per formula unit.

Unit cell a=6.8381 b=5.9892 c=7.3147 alpha=90.00 beta=91.24 gamma=90.00
Space group P2_1/c (No. 14)
Inequivalent atoms, fractional coordinates:
Pa (0.0000, 0.0000, 0.0000) x2
Hg (0.5000, 0.0000, 0.5000) x2
S (0.1241, 0.1522, 0.6849) x4
S (0.3762, 0.6309, 0.5808) x4



(6)
Entry from Alexandria: crystalline KCuSb2Te at its relaxed geometry (PBE).

Summary:
Its calculated volume is 203.6 Å³/cell. For the density, the calculation gives 3.86 g/cm3. The calculation puts the total magnetization at 0.00 μB/f.u. The energy relative to the elements, uncorrected is 7.21 eV per formula unit. The value obtained for the relative energy among the computed polymorphs is 1403 meV per atom.

Unit cell a=5.8765 b=5.8765 c=5.8957 alpha=90.00 beta=90.00 gamma=90.00
Space group P4/mmm (No. 123)
Inequivalent atoms, fractional coordinates:
K (0.0000, 0.0000, 0.0000) x1
Cu (0.5000, 0.5000, 0.5000) x1
Sb (0.0000, 0.5000, 0.0000) x2
Te (0.0000, 0.0000, 0.5000) x1